[1]
Computed, not measured: a relaxed Tm4ThP5 crystal at the GGA-PBE level of DFT.

a b c (Å): 10.5502 10.5502 10.5502
angles (deg): 158.17 148.89 38.33
Fractional positions:
Tm 0.1027 0.1027 0.0000
Tm 0.2968 0.2968 0.0000
Tm 0.7032 0.7032 0.0000
Tm 0.8973 0.8973 0.0000
Th 0.5000 0.5000 0.0000
P 0.0000 0.5000 0.5000
P 0.1997 0.6997 0.5000
P 0.3959 0.8959 0.5000
P 0.6041 0.1041 0.5000
P 0.8003 0.3003 0.5000

Results
energy of formation: -1592 meV/atom
SG: Immm
M_tot: 0.0000 μB/atom
calculated volume: 22.53 Å³ per atom
E: -6.83 eV/atom

***

[2]
Computed, not measured: a relaxed HoMnGa crystal at the GGA-PBE level of DFT.

a b c (Å): 4.4238 4.4238 3.5753
angles (deg): 90.00 90.00 120.00
Fractional positions:
Ho 0.0000 0.0000 0.0000
Mn 0.6667 0.3333 0.5000
Ga 0.3333 0.6667 0.5000

Results
energy of formation: -254 meV/atom
SG: P-6m2
M_tot: 1.0571 μB/atom
calculated volume: 20.20 Å³ per atom
E: -5.85 eV/atom

***

[3]
Computed, not measured: a relaxed In2Ag2HgBr6 crystal at the GGA-PBE level of DFT.

a b c (Å): 6.7892 6.9514 9.5729
angles (deg): 74.04 75.94 74.20
Fractional positions:
In 0.0486 0.4058 0.1417
In 0.9514 0.5942 0.8583
Ag 0.3582 0.7437 0.3672
Ag 0.6418 0.2563 0.6328
Hg 0.5000 0.0000 0.5000
Br 0.0661 0.0102 0.2213
Br 0.2200 0.4655 0.6298
Br 0.3850 0.4403 0.2039
Br 0.6150 0.5597 0.7961
Br 0.7800 0.5345 0.3702
Br 0.9339 0.9898 0.7787

Results
formation energy from raw total energies: -510 meV per atom
SG: P-1
M_tot: 0.0000 μB/atom
calculated volume: 37.36 Å³ per atom
E: -2.47 eV/atom

***

[4]
Computed, not measured: a relaxed Be4P crystal at the GGA-PBE level of DFT.

a b c (Å): 5.7112 5.7112 5.7112
angles (deg): 148.81 148.81 44.70
Fractional positions:
Be 0.0970 0.0970 0.0000
Be 0.2500 0.7500 0.5000
Be 0.7500 0.2500 0.5000
Be 0.9030 0.9030 0.0000
P 0.5000 0.5000 0.0000

Results
energy of formation: 384 meV/atom
SG: I4/mmm
M_tot: 0.0000 μB/atom
calculated volume: 9.96 Å³ per atom
ΔE to the lowest computed polymorph: 107 meV/atom
E: -3.68 eV/atom

***

[5]
Computed, not measured: a relaxed Np3H12Pt5 crystal at the GGA-PBE level of DFT.

a b c (Å): 10.3603 10.3603 10.3603
angles (deg): 109.47 109.47 109.47
Fractional positions:
Np 0.1250 0.2500 0.3750
Np 0.1250 0.3750 0.7500
Np 0.2500 0.3750 0.1250
Np 0.2500 0.8750 0.6250
Np 0.3750 0.1250 0.2500
Np 0.3750 0.7500 0.1250
Np 0.6250 0.2500 0.8750
Np 0.6250 0.8750 0.7500
Np 0.7500 0.1250 0.3750
Np 0.7500 0.6250 0.8750
Np 0.8750 0.6250 0.2500
Np 0.8750 0.7500 0.6250
H 0.0113 0.1865 0.1021
H 0.0113 0.3247 0.9092
H 0.0845 0.6865 0.6753
H 0.0845 0.8979 0.4092
H 0.0908 0.6021 0.4155
H 0.0908 0.9887 0.6753
H 0.1021 0.0113 0.1865
H 0.1021 0.5908 0.9155
H 0.1753 0.1865 0.5845
H 0.1753 0.4887 0.5908
H 0.1865 0.1021 0.0113
H 0.1865 0.5845 0.1753
H 0.3135 0.3247 0.9155
H 0.3135 0.4887 0.3979
H 0.3247 0.9092 0.0113
H 0.3247 0.9155 0.3135
H 0.3979 0.3135 0.4887
H 0.3979 0.5845 0.9092
H 0.4092 0.0845 0.8979
H 0.4092 0.8247 0.5113
H 0.4155 0.0908 0.6021
H 0.4155 0.8247 0.8135
H 0.4887 0.3979 0.3135
H 0.4887 0.5908 0.1753
H 0.5113 0.4092 0.8247
H 0.5113 0.6021 0.6865
H 0.5845 0.1753 0.1865
H 0.5845 0.9092 0.3979
H 0.5908 0.1753 0.4887
H 0.5908 0.9155 0.1021
H 0.6021 0.4155 0.0908
H 0.6021 0.6865 0.5113
H 0.6753 0.0845 0.6865
H 0.6753 0.0908 0.9887
H 0.6865 0.5113 0.6021
H 0.6865 0.6753 0.0845
H 0.8135 0.4155 0.8247
H 0.8135 0.8979 0.9887
H 0.8247 0.5113 0.4092
H 0.8247 0.8135 0.4155
H 0.8979 0.4092 0.0845
H 0.8979 0.9887 0.8135
H 0.9092 0.0113 0.3247
H 0.9092 0.3979 0.5845
H 0.9155 0.1021 0.5908
H 0.9155 0.3135 0.3247
H 0.9887 0.6753 0.0908
H 0.9887 0.8135 0.8979
Pt 0.0000 0.0000 0.0000
Pt 0.0000 0.0000 0.5000
Pt 0.0000 0.5000 0.0000
Pt 0.0000 0.5000 0.5000
Pt 0.1250 0.7500 0.8750
Pt 0.1250 0.8750 0.2500
Pt 0.2500 0.1250 0.8750
Pt 0.2500 0.6250 0.3750
Pt 0.3750 0.2500 0.6250
Pt 0.3750 0.6250 0.7500
Pt 0.5000 0.0000 0.0000
Pt 0.5000 0.0000 0.5000
Pt 0.5000 0.5000 0.0000
Pt 0.5000 0.5000 0.5000
Pt 0.6250 0.3750 0.2500
Pt 0.6250 0.7500 0.3750
Pt 0.7500 0.3750 0.6250
Pt 0.7500 0.8750 0.1250
Pt 0.8750 0.1250 0.7500
Pt 0.8750 0.2500 0.1250

Results
SG: Ia-3d
M_tot: 0.6828 μB/atom
calculated volume: 10.70 Å³ per atom
E: -5.52 eV/atom

***

[6]
Computed, not measured: a relaxed CaZn crystal at the GGA-PBE level of DFT.

a b c (Å): 7.6946 7.1124 6.1498
angles (deg): 70.50 60.61 48.89
Fractional positions:
Ca 0.0749 0.6751 0.0749
Ca 0.3249 0.9251 0.3249
Ca 0.6751 0.0749 0.6751
Ca 0.9251 0.3249 0.9251
Zn 0.2073 0.5427 0.5427
Zn 0.4573 0.7927 0.7927
Zn 0.5427 0.2073 0.2073
Zn 0.7927 0.4573 0.4573

Results
energy of formation: -142 meV/atom
SG: Fddd
M_tot: 0.0000 μB/atom
calculated volume: 27.61 Å³ per atom
E: -1.78 eV/atom

***

[7]
Computed, not measured: a relaxed YCoNi3 crystal at the GGA-PBE level of DFT.

a b c (Å): 4.6241 4.6241 4.6241
angles (deg): 90.00 90.00 90.00
Fractional positions:
Y 0.0000 0.0000 0.0000
Co 0.5000 0.5000 0.5000
Ni 0.0000 0.0000 0.5000
Ni 0.0000 0.5000 0.0000
Ni 0.5000 0.0000 0.0000

Results
energy of formation: 1636 meV/atom
SG: Pm-3m
M_tot: 0.3838 μB/atom
calculated volume: 19.77 Å³ per atom
ΔE to the lowest computed polymorph: 1751 meV/atom
E: -4.55 eV/atom

***

[8]
Computed, not measured: a relaxed SmDy2Se3 crystal at the GGA-PBE level of DFT.

a b c (Å): 7.1114 7.1114 7.1114
angles (deg): 146.32 131.91 59.99
Fractional positions:
Sm 0.0000 0.0000 0.0000
Dy 0.3384 0.3384 0.0000
Dy 0.6616 0.6616 0.0000
Se 0.1730 0.6730 0.5000
Se 0.5000 0.0000 0.5000
Se 0.8270 0.3270 0.5000

Results
formation energy from raw total energies: -1769 meV per atom
SG: Immm
M_tot: 0.0000 μB/atom
calculated volume: 24.51 Å³ per atom
E: -5.83 eV/atom

***

Q: Look up the M_tot of the eighth one.
A: 0.0000 μB/atom

***

Q: What is the formula in the first record?
A: Tm4ThP5

***

Q: Which of these has the lowest E?
A: Tm4ThP5